Crystalline AcPuSbTe at its relaxed geometry, computed with GGA-PBE.

```
AcPuSbTe
1.0
-2.128 4.147 -0.056
-4.040 -2.087 -1.029
-2.429 -1.088 11.745
Sb Pu Ac Te
2 2 2 2
direct
0.000 0.500 0.311 Sb
0.500 0.000 0.689 Sb
0.000 0.000 0.500 Pu
0.500 0.500 0.500 Pu
0.500 0.000 0.207 Ac
0.000 0.500 0.793 Ac
0.500 0.500 0.000 Te
0.000 0.000 0.000 Te
```

## Properties
Formation energy without anion corrections ... -0.832 eV per atom
E above lowest polymorph ... 114.7 meV/atom
Space-group type ... No. 129
Crystal system ... tetragonal

---

Crystalline KLa2Zn at its relaxed geometry, computed with GGA-PBE.

```
KLa2Zn
1.0
0.000 3.984 3.984
3.984 0.000 3.984
3.984 3.984 0.000
La K Zn
2 1 1
direct
0.750 0.750 0.750 La
0.250 0.250 0.250 La
0.000 0.000 0.000 K
0.500 0.500 0.500 Zn
```

## Properties
E above lowest polymorph ... 296.2 meV/atom
Space-group type ... No. 225
Crystal system ... cubic

---

Crystalline DyTmGa4 at its relaxed geometry, computed with GGA-PBE.

```
DyTmGa4
1.0
5.484 0.000 0.000
2.742 4.749 0.000
2.742 1.583 4.478
Ga Dy Tm
4 1 1
direct
0.625 0.625 0.625 Ga
0.625 0.125 0.625 Ga
0.625 0.625 0.125 Ga
0.125 0.625 0.625 Ga
0.000 0.000 0.000 Dy
0.250 0.250 0.250 Tm
```

## Properties
E above lowest polymorph ... 81.7 meV/atom
Space-group type ... No. 216
Crystal system ... cubic

---

Crystalline DyRhS at its relaxed geometry, computed with GGA-PBE.

```
DyRhS
1.0
3.601 0.000 0.000
0.000 4.155 0.000
0.000 -2.077 3.598
Rh Dy S
1 1 1
direct
0.168 0.000 0.000 Rh
0.667 0.667 0.333 Dy
0.166 0.333 0.667 S
```

## Properties
Formation energy without anion corrections ... -1.263 eV per atom
Space-group type ... No. 156
Crystal system ... trigonal

---

Crystalline VSiAg2Bi at its relaxed geometry, computed with GGA-PBE.

```
VSiAg2Bi
1.0
4.671 0.000 0.000
0.000 5.612 0.000
0.000 0.000 4.671
V Si Ag Bi
1 1 2 1
direct
0.500 0.500 0.500 V
0.000 0.000 0.000 Si
0.500 0.000 0.000 Ag
0.000 0.000 0.500 Ag
0.000 0.500 0.000 Bi
```

## Properties
Formation energy without anion corrections ... 1.050 eV per atom
Space-group type ... No. 123
Crystal system ... tetragonal

---

Crystalline LaY2InCo at its relaxed geometry, computed with GGA-PBE.

```
LaY2InCo
1.0
5.180 0.000 0.000
0.000 5.180 0.000
0.000 0.000 5.139
Co Y In La
1 2 1 1
direct
0.000 0.000 0.000 Co
0.000 0.500 0.000 Y
0.500 0.000 0.000 Y
0.000 0.000 0.500 In
0.500 0.500 0.500 La
```

## Properties
E above lowest polymorph ... 92.7 meV/atom
Space-group type ... No. 123
Crystal system ... tetragonal

---

Crystalline SrReRu2 at its relaxed geometry, computed with GGA-PBE.

```
SrReRu2
1.0
5.498 0.004 0.002
1.973 5.131 -0.002
-2.934 -3.734 2.771
Ru Sr Re
2 1 1
direct
0.454 0.454 0.000 Ru
0.046 0.046 0.000 Ru
0.750 0.250 0.500 Sr
0.250 0.750 0.500 Re
```

## Properties
E above lowest polymorph ... 329.0 meV/atom
Space-group type ... No. 71
Crystal system ... orthorhombic

---

Crystalline Tb3Cu3Pd at its relaxed geometry, computed with GGA-PBE.

```
Tb3Cu3Pd
1.0
-2.929 -1.703 1.980
1.025 -2.664 -4.663
9.464 -8.328 6.838
Cu Pd Tb
6 2 6
direct
0.114 0.228 0.104 Cu
0.743 0.485 0.750 Cu
0.886 0.772 0.896 Cu
0.886 0.772 0.604 Cu
0.114 0.228 0.396 Cu
0.257 0.515 0.250 Cu
0.500 0.000 0.500 Pd
0.500 0.000 0.000 Pd
0.170 0.341 0.905 Tb
0.548 0.096 0.250 Tb
0.830 0.659 0.095 Tb
0.452 0.904 0.750 Tb
0.170 0.341 0.595 Tb
0.830 0.659 0.405 Tb
```

## Properties
Total energy ... -4.880 eV per atom
Space-group type ... No. 63
Crystal system ... orthorhombic

---

Crystalline CaAl2BP at its relaxed geometry, computed with GGA-PBE.

```
CaAl2BP
1.0
-2.664 0.039 3.175
-0.352 -5.354 -0.230
3.163 -0.322 2.659
B Ca P Al
1 1 1 2
direct
0.000 0.000 0.000 B
0.500 0.500 0.500 Ca
0.000 0.500 0.000 P
0.000 0.000 0.500 Al
0.500 0.000 0.000 Al
```

## Properties
Total energy ... -4.151 eV per atom
Space-group type ... No. 123
Crystal system ... tetragonal

---

Crystalline ZrMn6P6 at its relaxed geometry, computed with GGA-PBE.

```
ZrMn6P6
1.0
4.941 0.000 0.000
-2.470 4.279 0.000
0.000 0.000 7.648
Mn Zr P
6 1 6
direct
0.000 0.000 0.148 Mn
0.667 0.333 0.500 Mn
0.000 0.000 0.852 Mn
0.667 0.333 0.000 Mn
0.333 0.667 0.000 Mn
0.333 0.667 0.500 Mn
0.000 0.000 0.500 Zr
0.000 0.500 0.743 P
0.500 0.000 0.257 P
0.500 0.500 0.743 P
0.500 0.500 0.257 P
0.000 0.500 0.257 P
0.500 0.000 0.743 P
```

## Properties
E above lowest polymorph ... 459.6 meV/atom
Space-group type ... No. 191
Crystal system ... hexagonal

---

Crystalline CrSn2Hg2 at its relaxed geometry, computed with GGA-PBE.

```
CrSn2Hg2
1.0
-2.057 1.787 -2.769
-0.411 -3.377 -1.875
-8.874 -2.429 2.299
Cr Sn Hg
1 2 2
direct
0.000 0.000 0.000 Cr
0.584 0.584 0.833 Sn
0.416 0.416 0.167 Sn
0.750 0.250 0.500 Hg
0.250 0.750 0.500 Hg
```

## Properties
E above lowest polymorph ... 115.5 meV/atom
Space-group type ... No. 139
Crystal system ... tetragonal

---

Crystalline Rh2WBr at its relaxed geometry, computed with GGA-PBE.

```
Rh2WBr
1.0
-4.080 1.340 3.159
0.531 -1.015 5.207
1.746 2.619 -4.303
Rh Br W
2 1 1
direct
0.002 0.002 0.000 Rh
0.498 0.498 0.000 Rh
0.250 0.750 0.500 Br
0.750 0.250 0.500 W
```

## Properties
Formation energy without anion corrections ... 0.638 eV per atom
E above lowest polymorph ... 488.0 meV/atom
Space-group type ... No. 71
Crystal system ... orthorhombic

---

Crystalline CoIr2Pt at its relaxed geometry, computed with GGA-PBE.

```
CoIr2Pt
1.0
3.831 0.000 0.000
1.915 3.318 0.000
1.915 1.106 5.238
Pt Co Ir
1 1 2
direct
0.666 0.666 0.002 Pt
0.502 0.502 0.495 Co
0.088 0.088 0.736 Ir
0.244 0.244 0.268 Ir
```

## Properties
E above lowest polymorph ... 644.3 meV/atom
Space-group type ... No. 160
Crystal system ... trigonal

---

Crystalline TaMnNi6 at its relaxed geometry, computed with GGA-PBE.

```
TaMnNi6
1.0
4.311 0.744 -0.046
1.066 4.243 -0.046
1.478 1.370 6.105
Ni Mn Ta
6 1 1
direct
0.362 0.362 0.936 Ni
0.057 0.537 0.297 Ni
0.537 0.057 0.297 Ni
0.943 0.463 0.703 Ni
0.638 0.638 0.064 Ni
0.463 0.943 0.703 Ni
0.000 0.000 0.000 Mn
0.500 0.500 0.500 Ta
```

## Properties
E above lowest polymorph ... 387.6 meV/atom
Space-group type ... No. 12
Crystal system ... monoclinic

---

Crystalline Pr2YHoEr5 at its relaxed geometry, computed with GGA-PBE.

```
Pr2YHoEr5
1.0
8.602 0.000 0.000
0.000 8.602 0.000
-4.301 -4.301 7.845
Er Ho Pr Y
10 2 4 2
direct
0.072 0.572 0.718 Er
0.572 0.646 0.718 Er
0.854 0.928 0.282 Er
0.146 0.072 0.718 Er
0.354 0.854 0.282 Er
0.500 0.500 0.000 Er
0.646 0.146 0.718 Er
0.928 0.428 0.282 Er
0.428 0.354 0.282 Er
0.000 0.000 0.000 Er
0.750 0.250 0.500 Ho
0.250 0.750 0.500 Ho
0.618 0.118 0.000 Pr
0.118 0.382 0.000 Pr
0.382 0.882 0.000 Pr
0.882 0.618 0.000 Pr
0.750 0.750 0.500 Y
0.250 0.250 0.500 Y
```

## Properties
Total energy ... -4.555 eV per atom
Space-group type ... No. 140
Crystal system ... tetragonal

---

Crystalline ZrAlZnIn at its relaxed geometry, computed with GGA-PBE.

```
ZrAlZnIn
1.0
-1.749 1.049 3.629
-3.893 -0.239 -1.807
-0.240 -4.039 1.051
Zn In Zr Al
1 1 1 1
direct
0.000 0.000 0.000 Zn
0.500 0.000 0.500 In
0.500 0.500 0.000 Zr
0.000 0.500 0.500 Al
```

## Properties
Total energy ... -4.414 eV per atom
Space-group type ... No. 47
Crystal system ... orthorhombic

---

Crystalline HgTe2Au at its relaxed geometry, computed with GGA-PBE.

```
HgTe2Au
1.0
3.103 0.000 0.000
0.000 3.103 0.000
0.000 0.000 11.286
Te Hg Au
2 1 1
direct
0.000 0.000 0.979 Te
0.500 0.500 0.304 Te
0.500 0.500 0.706 Hg
0.000 0.000 0.511 Au
```

## Properties
Formation energy without anion corrections ... 0.238 eV per atom
Space-group type ... No. 99
Crystal system ... tetragonal

---

Crystalline PmNp2Ga9 at its relaxed geometry, computed with GGA-PBE.

```
PmNp2Ga9
1.0
4.287 0.000 0.000
0.000 4.287 0.000
0.000 0.000 12.919
Ga Np Pm
9 2 1
direct
0.500 0.500 0.665 Ga
0.500 0.500 0.335 Ga
0.000 0.500 0.172 Ga
0.500 0.000 0.500 Ga
0.000 0.500 0.828 Ga
0.500 0.000 0.828 Ga
0.000 0.500 0.500 Ga
0.500 0.500 0.000 Ga
0.500 0.000 0.172 Ga
0.000 0.000 0.665 Np
0.000 0.000 0.335 Np
0.000 0.000 0.000 Pm
```

## Properties
E above lowest polymorph ... 0.0 meV/atom
Space-group type ... No. 123
Crystal system ... tetragonal

---

Crystalline CsInSb2 at its relaxed geometry, computed with GGA-PBE.

```
CsInSb2
1.0
4.713 0.000 0.000
0.000 4.713 0.000
0.000 0.000 14.856
Cs In Sb
2 2 4
direct
0.000 0.500 0.285 Cs
0.500 0.000 0.715 Cs
0.000 0.000 0.000 In
0.500 0.500 0.000 In
0.000 0.500 0.880 Sb
0.500 0.500 0.500 Sb
0.000 0.000 0.500 Sb
0.500 0.000 0.120 Sb
```

## Properties
Formation energy without anion corrections ... -0.196 eV per atom
Space-group type ... No. 129
Crystal system ... tetragonal

---

Crystalline Tb3YRu at its relaxed geometry, computed with GGA-PBE.

```
Tb3YRu
1.0
-3.903 -4.461 1.940
4.992 -3.873 1.138
0.464 2.692 7.122
Y Tb Ru
2 6 2
direct
0.430 0.333 0.701 Y
0.930 0.020 0.201 Y
0.421 0.333 0.201 Tb
0.926 0.497 0.451 Tb
0.921 0.019 0.701 Tb
0.426 0.855 0.451 Tb
0.926 0.497 0.951 Tb
0.426 0.855 0.951 Tb
0.675 0.675 0.201 Ru
0.175 0.678 0.701 Ru
```

## Properties
E above lowest polymorph ... 73.4 meV/atom
Space-group type ... No. 31
Crystal system ... orthorhombic

---

Crystalline Cs4RbF6 at its relaxed geometry, computed with GGA-PBE.

```
Cs4RbF6
1.0
-1.776 -7.938 -2.034
6.497 -2.671 4.579
-5.006 -0.553 6.704
Cs F Rb
8 12 2
direct
0.250 0.250 0.750 Cs
0.250 0.617 0.117 Cs
0.750 0.383 0.883 Cs
0.883 0.250 0.383 Cs
0.750 0.750 0.250 Cs
0.383 0.117 0.250 Cs
0.617 0.883 0.750 Cs
0.117 0.750 0.617 Cs
0.442 0.806 0.409 F
0.409 0.558 0.806 F
0.694 0.058 0.091 F
0.058 0.909 0.306 F
0.806 0.591 0.558 F
0.194 0.409 0.442 F
0.942 0.091 0.694 F
0.909 0.694 0.942 F
0.091 0.306 0.058 F
0.591 0.442 0.194 F
0.306 0.942 0.909 F
0.558 0.194 0.591 F
0.500 0.500 0.500 Rb
0.000 0.000 0.000 Rb
```

## Properties
Formation energy without anion corrections ... -2.418 eV per atom
Space-group type ... No. 167
Crystal system ... trigonal

---

Crystalline Ce6PuSi3 at its relaxed geometry, computed with GGA-PBE.

```
Ce6PuSi3
1.0
5.996 0.000 0.000
0.000 8.813 -2.856
0.000 0.064 9.264
Si Ce Pu
6 12 2
direct
0.477 0.000 0.776 Si
0.977 0.776 0.000 Si
0.327 0.408 0.592 Si
0.977 0.000 0.224 Si
0.477 0.224 0.000 Si
0.827 0.592 0.408 Si
0.287 0.068 0.494 Ce
0.955 0.072 0.928 Ce
0.147 0.328 0.268 Ce
0.647 0.268 0.328 Ce
0.647 0.672 0.732 Ce
0.244 0.709 0.291 Ce
0.787 0.932 0.506 Ce
0.744 0.291 0.709 Ce
0.287 0.506 0.932 Ce
0.455 0.928 0.072 Ce
0.147 0.732 0.672 Ce
0.787 0.494 0.068 Ce
0.138 0.229 0.771 Pu
0.638 0.771 0.229 Pu
```

## Properties
Formation energy without anion corrections ... -0.324 eV per atom
E above lowest polymorph ... 11.6 meV/atom
Space-group type ... No. 36
Crystal system ... orthorhombic

---

Crystalline MnW3Au at its relaxed geometry, computed with GGA-PBE.

```
MnW3Au
1.0
4.468 0.000 0.000
0.000 4.468 0.000
0.000 0.000 4.468
Au W Mn
1 3 1
direct
0.500 0.500 0.500 Au
0.500 0.000 0.000 W
0.000 0.000 0.500 W
0.000 0.500 0.000 W
0.000 0.000 0.000 Mn
```

## Properties
E above lowest polymorph ... 0.0 meV/atom
Space-group type ... No. 221
Crystal system ... cubic

---

Crystalline NbSiSbI2 at its relaxed geometry, computed with GGA-PBE.

```
NbSiSbI2
1.0
5.334 0.000 0.000
0.000 5.334 0.000
0.000 0.000 5.381
Si I Sb Nb
1 2 1 1
direct
0.000 0.000 0.000 Si
0.500 0.000 0.000 I
0.000 0.500 0.000 I
0.000 0.000 0.500 Sb
0.500 0.500 0.500 Nb
```

## Properties
Formation energy without anion corrections ... 1.040 eV per atom
E above lowest polymorph ... 262.9 meV/atom
Space-group type ... No. 123
Crystal system ... tetragonal